{
  "formula": "SiTe",
  "functional": "PBE-GGA",
  "state": "relaxed",
  "lattice": [[3.8894, 0.0000, 0.0000], [-1.9447, 3.3683, 0.0000], [0.0000, 0.0000, 25.5158]],
  "species": ["Si", "Si", "Si", "Si", "Si", "Si", "Te", "Te", "Te", "Te", "Te", "Te"],
  "frac_coords": [[0.0000, 0.0000, 0.1982], [0.0000, 0.0000, 0.8018], [0.3333, 0.6667, 0.1391], [0.3333, 0.6667, 0.4705], [0.6667, 0.3333, 0.5295], [0.6667, 0.3333, 0.8609], [0.0000, 0.0000, 0.4122], [0.0000, 0.0000, 0.5878], [0.3333, 0.6667, 0.7435], [0.3333, 0.6667, 0.9191], [0.6667, 0.3333, 0.0809], [0.6667, 0.3333, 0.2565]],
  "energy_ev_per_atom": -4.2452,
  "space_group": "P-3m1, No. 164"
}

=====

{
  "formula": "AlTcSbI2",
  "functional": "PBE-GGA",
  "state": "relaxed",
  "lattice": [[5.6662, 0.0000, 0.0000], [0.0000, 5.6662, 0.0000], [0.0000, 0.0000, 5.0782]],
  "species": ["Al", "Tc", "Sb", "I", "I"],
  "frac_coords": [[0.0000, 0.0000, 0.0000], [0.5000, 0.5000, 0.5000], [0.5000, 0.5000, 0.0000], [0.0000, 0.5000, 0.5000], [0.5000, 0.0000, 0.5000]],
  "de_polymorph_ev_per_fu": 0.000,
  "energy_ev_per_atom": -3.6894,
  "space_group": "P4/mmm, No. 123"
}

=====

Number 1: ΔE_f (raw) 0.9 kcal/mol of atoms. Number 2: ΔE_f (raw) 13.3 kcal/mol of atoms.